No. 1
! KLa2Al, relaxed, DFT PBE; values from VASP
! Crystal system = orthorhombic
! Density = 3.94 g cm⁻³
! E_form = 0.18 eV/atom
! Total energy = -14.0 eV per cell
&SYSTEM
  ibrav = 0, nat = 4, ntyp = 3
/
ATOMIC_SPECIES
K 39.10 K.upf
La 138.91 La.upf
Al 26.98 Al.upf
CELL_PARAMETERS angstrom
7.3149 -0.0106 -0.0024
3.7368 6.2884 0.0024
-4.6390 -4.7001 3.1458
ATOMIC_POSITIONS angstrom
K 2.3118 2.3636 1.5741
La 6.0146 3.4166 0.0000
La 10.5628 6.0001 0.0000
Al 4.1009 -0.7859 1.5717

No. 2
! Sr2LaMo, relaxed, DFT PBE; values from VASP
! Excess energy over the best structure of this formula in the dataset = 294.1 meV per atom
! Crystal system = orthorhombic
! Density = 5.09 g cm⁻³
! E_form = 0.81 eV/atom
! Total energy = -15.9 eV per cell
&SYSTEM
  ibrav = 0, nat = 4, ntyp = 3
/
ATOMIC_SPECIES
La 138.91 La.upf
Sr 87.62 Sr.upf
Mo 95.94 Mo.upf
CELL_PARAMETERS angstrom
4.8229 0.0000 0.0000
0.0000 4.8355 0.0021
0.0000 4.8365 5.7341
ATOMIC_POSITIONS angstrom
La 2.4114 4.8360 2.8681
Sr 0.0000 0.0000 0.0000
Sr 2.4114 2.4178 0.0010
Mo 0.0000 2.4182 2.8670

No. 3
! TaFe2Te, relaxed, DFT PBE; values from VASP
! Crystal system = tetragonal
! Density = 11.28 g cm⁻³
! Formation energy from raw total energies = 0.15 eV per atom
! Total energy = -31.3 eV per cell
&SYSTEM
  ibrav = 0, nat = 4, ntyp = 3
/
ATOMIC_SPECIES
Ta 180.95 Ta.upf
Fe 55.84 Fe.upf
Te 127.60 Te.upf
CELL_PARAMETERS angstrom
3.2315 0.0000 0.0000
0.0000 3.2314 0.0000
0.0000 0.0000 5.9223
ATOMIC_POSITIONS angstrom
Ta 1.6157 1.6157 1.4806
Fe 0.0000 0.0000 0.1056
Fe 0.0000 0.0000 2.8556
Te 1.6157 1.6157 4.4418

No. 4
! CaZnCl2, relaxed, DFT PBE; values from VASP
! Excess energy over the best structure of this formula in the dataset = 554.0 meV per atom
! Crystal system = cubic
! Density = 3.07 g cm⁻³
! Formation energy from raw total energies = -0.98 eV per atom
! Total energy = -10.9 eV per cell
&SYSTEM
  ibrav = 0, nat = 4, ntyp = 3
/
ATOMIC_SPECIES
Zn 65.41 Zn.upf
Cl 35.45 Cl.upf
Ca 40.08 Ca.upf
CELL_PARAMETERS angstrom
5.1296 0.0000 0.0000
2.5648 4.4423 0.0000
2.5648 1.4808 4.1883
ATOMIC_POSITIONS angstrom
Zn 7.6943 4.4423 3.1412
Cl 2.5648 1.4808 1.0471
Cl 0.0000 0.0000 0.0000
Ca 5.1296 2.9616 2.0941